# 1
This record from the Alexandria database describes an optimized crystal structure of K2PRh2. The functional is PBE.

Summary:
The value obtained for the formation energy is -181.5 meV per atom. Its density of states at the Fermi level is 0.1416 states/eV per atom. The calculation puts the total energy at -0.34126 Ry/atom.

Cell lengths 6.104, 6.104, 5.604 Å; angles 90.00, 90.00, 90.00 degrees
Element x y z (fractional)
K1 0.178 0.322 0.000
K2 0.322 0.822 0.000
K3 0.678 0.178 0.000
K4 0.822 0.678 0.000
P1 0.000 0.000 0.500
P2 0.500 0.500 0.500
Rh1 0.156 0.656 0.500
Rh2 0.344 0.156 0.500
Rh3 0.656 0.844 0.500
Rh4 0.844 0.344 0.500

# 2
This record from the Alexandria database describes an optimized crystal structure of KP2Rh. The functional is PBE.

Summary:
The value obtained for the formation energy is 677.8 meV per atom. Its density of states at the Fermi level is 0.8741 states/eV per atom. The calculation puts the total energy at -0.30424 Ry/atom.

Cell lengths 5.179, 5.179, 5.179 Å; angles 133.58, 133.58, 67.74 degrees
Element x y z (fractional)
K1 0.000 0.000 0.000
P1 0.250 0.750 0.500
P2 0.500 0.500 0.000
Rh1 0.750 0.250 0.500

# 3
This record from the Alexandria database describes an optimized crystal structure of KP2RhS8. The functional is PBE.

Summary:
The calculation puts the uncorrected formation energy at -0.280 eV per atom. Its density of states at the Fermi level is 0.7080 states/eV per atom. The calculation puts the total energy at -0.34087 Ry/atom.

Cell lengths 5.812, 5.812, 9.601 Å; angles 90.00, 90.00, 120.00 degrees
Element x y z (fractional)
K1 0.000 0.000 0.000
P1 0.333 0.667 0.706
P2 0.667 0.333 0.294
Rh1 0.000 0.000 0.500
S1 0.017 0.675 0.356
S2 0.325 0.342 0.356
S3 0.333 0.667 0.914
S4 0.342 0.017 0.644
S5 0.658 0.983 0.356
S6 0.667 0.333 0.086
S7 0.675 0.658 0.644
S8 0.983 0.325 0.644

# 4
This record from the Alexandria database describes an optimized crystal structure of KP2RhS. The functional is PBE.

Summary:
The calculation puts the uncorrected formation energy at 0.079 eV per atom. Its density of states at the Fermi level is 0.5099 states/eV per atom. The calculation puts the total energy at -0.33811 Ry/atom.

Cell lengths 4.526, 4.526, 5.465 Å; angles 90.00, 90.00, 90.00 degrees
Element x y z (fractional)
K1 0.000 0.000 0.000
P1 0.000 0.500 0.500
P2 0.500 0.000 0.500
Rh1 0.500 0.500 0.500
S1 0.500 0.500 0.000

# 5
This record from the Alexandria database describes an optimized crystal structure of KPRhS2. The functional is PBE.

Summary:
The calculation puts the uncorrected formation energy at -0.032 eV per atom. Its density of states at the Fermi level is 1.1036 states/eV per atom. The calculation puts the total energy at -0.32743 Ry/atom.

Cell lengths 5.031, 5.031, 4.397 Å; angles 90.00, 90.00, 90.00 degrees
Element x y z (fractional)
K1 0.000 0.000 0.000
P1 0.500 0.500 0.000
Rh1 0.500 0.500 0.500
S1 0.000 0.500 0.500
S2 0.500 0.000 0.500

# 6
This record from the Alexandria database describes an optimized crystal structure of KP2RhS. The functional is PBE.

Summary:
The calculation puts the uncorrected formation energy at 2.223 eV per atom. Its density of states at the Fermi level is 1.6459 states/eV per atom. The calculation puts the total energy at -0.18053 Ry/atom.

Cell lengths 5.104, 5.104, 5.170 Å; angles 90.00, 90.00, 90.00 degrees
Element x y z (fractional)
K1 0.000 0.000 0.000
P1 0.000 0.500 0.000
P2 0.500 0.000 0.000
Rh1 0.500 0.500 0.500
S1 0.000 0.000 0.500

# 7
This record from the Alexandria database describes an optimized crystal structure of KPRhS2. The functional is PBE.

Summary:
The calculation puts the uncorrected formation energy at 2.002 eV per atom. Its density of states at the Fermi level is 1.5967 states/eV per atom. The calculation puts the total energy at -0.17793 Ry/atom.

Cell lengths 5.277, 5.277, 5.166 Å; angles 90.00, 90.00, 90.00 degrees
Element x y z (fractional)
K1 0.000 0.000 0.000
P1 0.000 0.000 0.500
Rh1 0.500 0.500 0.500
S1 0.000 0.500 0.000
S2 0.500 0.000 0.000

# 8
This record from the Alexandria database describes an optimized crystal structure of KP2Ru. The functional is PBE.

Summary:
The value obtained for the formation energy is -141.1 meV per atom. Its density of states at the Fermi level is 0.3345 states/eV per atom. The calculation puts the total energy at -0.39979 Ry/atom.

Cell lengths 3.028, 3.028, 7.772 Å; angles 90.00, 90.00, 90.00 degrees
Element x y z (fractional)
K1 0.000 0.000 0.000
P1 0.500 0.500 0.321
P2 0.500 0.500 0.679
Ru1 0.000 0.000 0.500

# 9
This record from the Alexandria database describes an optimized crystal structure of KP2Ru. The functional is PBE.

Summary:
The value obtained for the formation energy is -235.3 meV per atom. Its density of states at the Fermi level is 1.0353 states/eV per atom. The calculation puts the total energy at -0.40671 Ry/atom.

Cell lengths 6.361, 6.361, 6.361 Å; angles 37.33, 37.33, 37.33 degrees
Element x y z (fractional)
K1 0.000 0.000 0.000
P1 0.198 0.198 0.198
P2 0.802 0.802 0.802
Ru1 0.500 0.500 0.500

# 10
This record from the Alexandria database describes an optimized crystal structure of K2PRu. The functional is PBE.

Summary:
The value obtained for the formation energy is -114.8 meV per atom. Its density of states at the Fermi level is 0.6262 states/eV per atom. The calculation puts the total energy at -0.31862 Ry/atom.

Cell lengths 3.929, 3.929, 9.878 Å; angles 100.84, 100.84, 60.03 degrees
Element x y z (fractional)
K1 0.000 0.000 0.000
K2 0.169 0.169 0.542
P1 0.422 0.422 0.286
Ru1 0.749 0.749 0.266

# 11
This record from the Alexandria database describes an optimized crystal structure of KP2Ru. The functional is PBE.

Summary:
The value obtained for the formation energy is 478.8 meV per atom. Its density of states at the Fermi level is 0.9326 states/eV per atom. The calculation puts the total energy at -0.35422 Ry/atom.

Cell lengths 5.694, 5.694, 5.694 Å; angles 149.43, 122.23, 66.78 degrees
Element x y z (fractional)
K1 0.000 0.000 0.000
P1 0.310 0.810 0.500
P2 0.494 0.494 0.000
Ru1 0.677 0.177 0.500

# 12
This record from the Alexandria database describes an optimized crystal structure of K2PRu. The functional is PBE.

Summary:
The value obtained for the formation energy is 243.5 meV per atom. Its density of states at the Fermi level is 0.8344 states/eV per atom. The calculation puts the total energy at -0.29228 Ry/atom.

Cell lengths 4.450, 5.117, 7.770 Å; angles 90.00, 95.24, 90.00 degrees
Element x y z (fractional)
K1 0.221 0.000 0.229
K2 0.779 0.000 0.771
P1 0.000 0.500 0.000
Ru1 0.500 0.500 0.000